Entry 1:
# TmTiMnSi2

Crystalline TmTiMnSi2 at its relaxed geometry (PBE-GGA, Alexandria).

Computed properties:
For the volume, the calculation gives 16.6 Å³/atom. Its energy relative to the elements, uncorrected is -0.658 eV per atom. The value obtained for the density of states at the Fermi level is 2.5 states/eV per cell.

a = 3.8871 Å, b = 3.8871 Å, c = 6.1370 Å
α = 108.46°, β = 108.46°, γ = 90.00°
Last column: magnetic moment on the atom in μB.
Positions (direct):
Tm1 0.0000 0.0000 0.0000  -0.06
Ti1 0.2500 0.7500 0.5000  -0.40
Si1 0.6085 0.6085 0.2170  -0.03
Si2 0.3915 0.3915 0.7830  -0.03
Mn1 0.7500 0.2500 0.5000  1.76



Entry 2:
# YAg2Mo

Crystalline YAg2Mo at its relaxed geometry (PBE-GGA, Alexandria).

Computed properties:
For the volume, the calculation gives 19.6 Å³/atom. As for the polymorph energy (0 for the lowest one): 0.241 eV/atom. The value obtained for the density of states at the Fermi level is 4.0 states/eV per cell.

a = 10.2948 Å, b = 10.2948 Å, c = 10.2948 Å
α = 16.69°, β = 16.69°, γ = 16.69°
Positions (direct):
Y1 0.7500 0.7500 0.7500
Ag1 0.9947 0.9947 0.9947
Ag2 0.5053 0.5053 0.5053
Mo1 0.2500 0.2500 0.2500



Entry 3:
# PuPd5Pt

Crystalline PuPd5Pt at its relaxed geometry (PBE-GGA, Alexandria).

Computed properties:
For the volume, the calculation gives 18.2 Å³/atom. As for the polymorph energy (0 for the lowest one): 0.135 eV/atom. The value obtained for the density of states at the Fermi level is 16.2 states/eV per cell.

a = 9.3819 Å, b = 5.0550 Å, c = 5.9695 Å
α = 115.05°, β = 141.80°, γ = 90.00°
Last column: magnetic moment on the atom in μB.
Positions (direct):
Pd1 0.0321 0.5000 0.0000  -0.15
Pd2 0.3019 0.2448 0.4896  -0.11
Pd3 0.7834 0.2488 0.0000  -0.14
Pd4 0.7834 0.7512 0.0000  -0.14
Pd5 0.8123 0.7552 0.5104  -0.11
Pt1 0.5132 0.0000 0.0000  -0.12
Pu1 0.3044 0.5000 0.0000  4.79